Entry from OQMD via LeMat-Bulk: a relaxed structure of NaZrPO (PBE).

Relative energy among the computed polymorphs ... 0 meV/atom
Total DFT energy (no corrections) ... -6.69 eV per atom

Lattice parameters (Å, degrees): 3.672 6.732 6.228 90.00 90.00 90.00
Positions (direct):
Na1 0.000 0.105 0.000
Na2 0.000 0.895 0.500
Zr1 0.500 0.482 0.684
Zr2 0.500 0.518 0.184
P1 0.000 0.308 0.427
P2 0.000 0.692 0.927
O1 0.500 0.294 0.942
O2 0.500 0.706 0.442

Entry from OQMD via LeMat-Bulk: a relaxed structure of YTmAu (PBE).

Relative energy among the computed polymorphs ... 202 meV/atom
Calculated formation energy ... -0.47 eV per atom
Total DFT energy (no corrections) ... -5.20 eV per atom

Lattice parameters (Å, degrees): 4.914 4.914 4.914 60.00 60.00 60.00
Positions (direct):
Y1 0.000 0.000 0.000
Tm1 0.500 0.500 0.500
Au1 0.750 0.750 0.750

Entry from OQMD via LeMat-Bulk: a relaxed structure of AlCdPt2 (PBE).

Total DFT energy (no corrections) ... -4.52 eV per atom

Lattice parameters (Å, degrees): 4.531 4.531 4.531 60.00 60.00 60.00
Positions (direct):
Al1 0.000 0.000 0.000
Cd1 0.250 0.250 0.250
Pt1 0.500 0.500 0.500
Pt2 0.750 0.750 0.750

Entry from OQMD via LeMat-Bulk: a relaxed structure of Y2AgGe2 (PBE).

Total DFT energy (no corrections) ... -5.73 eV per atom

Lattice parameters (Å, degrees): 7.171 7.171 4.266 90.00 90.00 90.00
Positions (direct):
Y1 0.176 0.324 0.000
Y2 0.324 0.824 0.000
Y3 0.676 0.176 0.000
Y4 0.824 0.676 0.000
Ag1 0.000 0.000 0.500
Ag2 0.500 0.500 0.500
Ge1 0.126 0.626 0.500
Ge2 0.374 0.126 0.500
Ge3 0.626 0.874 0.500
Ge4 0.874 0.374 0.500

> Which value of total DFT energy (no corrections) does entry 1 give?

-6.69 eV per atom

> Among the records above, which one has the highest total DFT energy (no corrections)?

AlCdPt2